(1)
DFT (PBE-GGA) results for a relaxed structure of Fe5Ni2Ir4.

DFT formation energy = 0.037 eV/atom

The structure in CIF format:
```
data_Fe5Ni2Ir4
_symmetry_space_group_name_H-M 'P 1'
_symmetry_Int_Tables_number 1
_symmetry_space_group_name_Hall 'P 1'
_cell_length_a 6.4084
_cell_length_b 2.6296
_cell_length_c 8.4143
_cell_angle_alpha 90.00
_cell_angle_beta 93.67
_cell_angle_gamma 90.00
loop_
_atom_site_label
_atom_site_type_symbol
_atom_site_fract_x
_atom_site_fract_y
_atom_site_fract_z
Fe1 Fe 0.0000 0.0000 0.0000
Fe2 Fe 0.0783 0.0000 0.2898
Fe3 Fe 0.3016 0.0000 0.8321
Fe4 Fe 0.6984 0.0000 0.1679
Fe5 Fe 0.9217 0.0000 0.7102
Ni1 Ni 0.4458 0.0000 0.3646
Ni2 Ni 0.5542 0.0000 0.6354
Ir1 Ir 0.2039 0.5000 0.5612
Ir2 Ir 0.3319 0.5000 0.1011
Ir3 Ir 0.6681 0.5000 0.8989
Ir4 Ir 0.7961 0.5000 0.4388
```


(2)
DFT (PBE-GGA) results for a relaxed structure of CaPr2OsC2.

DFT formation energy = 0.089 eV/atom

The structure in CIF format:
```
data_CaPr2OsC2
_symmetry_space_group_name_H-M 'P 1'
_symmetry_Int_Tables_number 1
_symmetry_space_group_name_Hall 'P 1'
_cell_length_a 5.8795
_cell_length_b 10.9683
_cell_length_c 4.0679
_cell_angle_alpha 90.00
_cell_angle_beta 90.00
_cell_angle_gamma 90.00
loop_
_atom_site_label
_atom_site_type_symbol
_atom_site_fract_x
_atom_site_fract_y
_atom_site_fract_z
Ca1 Ca 0.0000 0.0000 0.0000
Ca2 Ca 0.5000 0.5000 0.5000
Pr1 Pr 0.0497 0.2965 0.5000
Pr2 Pr 0.4503 0.7965 0.0000
Pr3 Pr 0.5497 0.2035 0.0000
Pr4 Pr 0.9503 0.7035 0.5000
Os1 Os 0.0000 0.5000 0.0000
Os2 Os 0.5000 0.0000 0.5000
C1 C 0.2410 0.8880 0.5000
C2 C 0.2590 0.3880 0.0000
C3 C 0.7410 0.6120 0.0000
C4 C 0.7590 0.1120 0.5000
```


(3)
DFT (PBE-GGA) results for a relaxed structure of PmSc5Cd6.

DFT formation energy = -0.280 eV/atom

The structure in CIF format:
```
data_PmSc5Cd6
_symmetry_space_group_name_H-M 'P 1'
_symmetry_Int_Tables_number 1
_symmetry_space_group_name_Hall 'P 1'
_cell_length_a 8.7665
_cell_length_b 8.7665
_cell_length_c 8.7665
_cell_angle_alpha 146.61
_cell_angle_beta 130.84
_cell_angle_gamma 60.73
loop_
_atom_site_label
_atom_site_type_symbol
_atom_site_fract_x
_atom_site_fract_y
_atom_site_fract_z
Pm1 Pm 0.0000 0.0000 0.0000
Sc1 Sc 0.1626 0.6626 0.5000
Sc2 Sc 0.3308 0.3308 0.0000
Sc3 Sc 0.5000 0.0000 0.5000
Sc4 Sc 0.6692 0.6692 0.0000
Sc5 Sc 0.8374 0.3375 0.5000
Cd1 Cd 0.0898 0.8278 0.2620
Cd2 Cd 0.2725 0.5000 0.7725
Cd3 Cd 0.4342 0.1722 0.2620
Cd4 Cd 0.5658 0.8278 0.7380
Cd5 Cd 0.7275 0.5000 0.2275
Cd6 Cd 0.9102 0.1722 0.7380
```


(4)
DFT (PBE-GGA) results for a relaxed structure of CoSiMo.

energy relative to the lowest polymorph listed for this composition = 777.2 meV per atom
formation energy (no corrections) = 313 meV/atom

The structure in CIF format:
```
data_CoSiMo
_symmetry_space_group_name_H-M 'P 1'
_symmetry_Int_Tables_number 1
_symmetry_space_group_name_Hall 'P 1'
_cell_length_a 4.0376
_cell_length_b 4.0376
_cell_length_c 4.0376
_cell_angle_alpha 60.00
_cell_angle_beta 60.00
_cell_angle_gamma 60.00
loop_
_atom_site_label
_atom_site_type_symbol
_atom_site_fract_x
_atom_site_fract_y
_atom_site_fract_z
Co1 Co 0.0000 0.0000 0.0000
Si1 Si 0.5000 0.5000 0.5000
Mo1 Mo 0.2500 0.2500 0.2500
```


(5)
DFT (PBE-GGA) results for a relaxed structure of Y3Sb.

energy relative to the lowest polymorph listed for this composition = 286.1 meV per atom
formation energy (no corrections) = -336 meV/atom

The structure in CIF format:
```
data_Y3Sb
_symmetry_space_group_name_H-M 'P 1'
_symmetry_Int_Tables_number 1
_symmetry_space_group_name_Hall 'P 1'
_cell_length_a 6.2789
_cell_length_b 6.2789
_cell_length_c 6.2789
_cell_angle_alpha 116.56
_cell_angle_beta 116.56
_cell_angle_gamma 116.56
loop_
_atom_site_label
_atom_site_type_symbol
_atom_site_fract_x
_atom_site_fract_y
_atom_site_fract_z
Y1 Y 0.0000 0.5000 0.5000
Y2 Y 0.5000 0.0000 0.5000
Y3 Y 0.5000 0.5000 0.0000
Sb1 Sb 0.0000 0.0000 0.0000
```


(6)
DFT (PBE-GGA) results for a relaxed structure of LuInGaPd.

DFT formation energy = -0.568 eV/atom

The structure in CIF format:
```
data_LuInGaPd
_symmetry_space_group_name_H-M 'P 1'
_symmetry_Int_Tables_number 1
_symmetry_space_group_name_Hall 'P 1'
_cell_length_a 4.8126
_cell_length_b 4.8126
_cell_length_c 4.8126
_cell_angle_alpha 60.00
_cell_angle_beta 60.00
_cell_angle_gamma 60.00
loop_
_atom_site_label
_atom_site_type_symbol
_atom_site_fract_x
_atom_site_fract_y
_atom_site_fract_z
Lu1 Lu 0.0000 0.0000 0.0000
In1 In 0.5000 0.5000 0.5000
Ga1 Ga 0.7500 0.7500 0.7500
Pd1 Pd 0.2500 0.2500 0.2500
```


(7)
DFT (PBE-GGA) results for a relaxed structure of HoHgAu2.

DFT formation energy = -0.545 eV/atom

The structure in CIF format:
```
data_HoHgAu2
_symmetry_space_group_name_H-M 'P 1'
_symmetry_Int_Tables_number 1
_symmetry_space_group_name_Hall 'P 1'
_cell_length_a 3.6437
_cell_length_b 3.6437
_cell_length_c 6.5914
_cell_angle_alpha 90.00
_cell_angle_beta 90.00
_cell_angle_gamma 90.00
loop_
_atom_site_label
_atom_site_type_symbol
_atom_site_fract_x
_atom_site_fract_y
_atom_site_fract_z
Ho1 Ho 0.0000 0.0000 0.0000
Hg1 Hg 0.0000 0.0000 0.5000
Au1 Au 0.5000 0.5000 0.2420
Au2 Au 0.5000 0.5000 0.7580
```


(8)
DFT (PBE-GGA) results for a relaxed structure of La2TbPr3Y6.

DFT formation energy = 0.010 eV/atom

The structure in CIF format:
```
data_La2TbPr3Y6
_symmetry_space_group_name_H-M 'P 1'
_symmetry_Int_Tables_number 1
_symmetry_space_group_name_Hall 'P 1'
_cell_length_a 6.3127
_cell_length_b 6.3127
_cell_length_c 11.9369
_cell_angle_alpha 95.05
_cell_angle_beta 95.05
_cell_angle_gamma 120.00
loop_
_atom_site_label
_atom_site_type_symbol
_atom_site_fract_x
_atom_site_fract_y
_atom_site_fract_z
La1 La 0.1662 0.8338 0.0000
La2 La 0.8338 0.1662 0.0000
Tb1 Tb 0.5000 0.5000 0.0000
Pr1 Pr 0.0000 0.0000 0.5000
Pr2 Pr 0.3333 0.6667 0.5000
Pr3 Pr 0.6667 0.3333 0.5000
Y1 Y 0.0844 0.4169 0.7501
Y2 Y 0.2508 0.2508 0.2502
Y3 Y 0.4169 0.0844 0.7501
Y4 Y 0.5831 0.9156 0.2499
Y5 Y 0.7492 0.7492 0.7498
Y6 Y 0.9156 0.5831 0.2499
```